NiCIO2: relaxed, PBE with a Hubbard U.

Cell and atoms, written as POSCAR:
```
NiCIO2
1.0
-1.1205 1.1207 -3.1504
2.6623 -1.7112 -1.5556
-4.2411 -6.0222 -0.6339
O Ni C I
2 1 1 1
direct
0.0000 0.5000 0.0000
0.5000 0.0000 0.0000
0.0000 0.0000 0.0000
0.5000 0.5000 0.5000
0.0000 0.0000 0.5000
```

Output
Energy, eV per atom: -3.508
Excess energy over the best structure of this formula in the dataset, meV/atom: 0.0
Total moment, μB per cell: 3.09